An optimized crystal structure of VZnIO2. Source: the Alexandria database, functional PBE+U.

```
data_VZnIO2
_cell_length_a 3.8466
_cell_length_b 3.8466
_cell_length_c 5.8787
_cell_angle_alpha 90.00
_cell_angle_beta 90.00
_cell_angle_gamma 90.00
_symmetry_space_group_name_H-M 'P 1'
_symmetry_Int_Tables_number 1
_symmetry_space_group_name_Hall 'P 1'
loop_
_atom_site_label
_atom_site_type_symbol
_atom_site_fract_x
_atom_site_fract_y
_atom_site_fract_z
_atom_site_occupancy
O1 O 0.5000 0.0000 0.0000 1
Zn1 Zn 0.5000 0.5000 0.5000 1
V1 V 0.0000 0.0000 0.0000 1
O2 O 0.0000 0.5000 0.0000 1
I1 I 0.0000 0.0000 0.5000 1
```

Properties
The total energy is -4.77 eV per atom. Its total magnetization is 0.236 μB per atom.